[1]
A relaxed Li2GaAg2Ge crystal, computed with PBE-GGA.

Output
Electronic total energy: -3.059 eV per atom

a b c (Å): 4.5215 4.5215 5.7479
angles (deg): 90.00 90.00 120.00
With the nearest neighbours (Å) after each atom.
Fractional coordinates of all 6 atoms:
Li 0.0000 0.0000 0.2480  2 Li 2.85-2.90, 3 Ge 2.97, 6 Ag 2.97-2.99, 3 Ga 2.99
Li 0.0000 0.0000 0.7520  2 Li 2.85-2.90, 3 Ge 2.97, 6 Ag 2.97-2.99, 3 Ga 2.99
Ga 0.6667 0.3333 0.5000  5 Ag 2.61-2.87
Ag 0.3333 0.6667 0.5000  3 Ga 2.61, 2 Ge 2.87
Ag 0.6667 0.3333 0.0000  3 Ge 2.61, 2 Ga 2.87
Ge 0.3333 0.6667 0.0000  5 Ag 2.61-2.87

***

[2]
A relaxed Li4GaAg2Ge crystal, computed with PBE-GGA.

Output
Electronic total energy: -2.928 eV per atom

a b c (Å): 4.4317 4.4317 6.2647
angles (deg): 90.00 90.00 90.00
With the nearest neighbours (Å) after each atom.
Fractional coordinates of all 8 atoms:
Li 0.0000 0.0000 0.0000  4 Li 2.71, 4 Ag 2.71
Li 0.0000 0.5000 0.2497  2 Ge 2.71, 4 Li 2.71, 2 Ga 2.71
Li 0.5000 0.0000 0.7503  2 Ge 2.71, 4 Li 2.71, 2 Ga 2.71
Li 0.5000 0.5000 0.5000  4 Ag 2.71, 4 Li 2.71
Ga 0.0000 0.0000 0.5000  4 Ag 2.71, 4 Li 2.71
Ag 0.0000 0.5000 0.7499  4 Li 2.71, 2 Ga 2.71, 2 Ge 2.71
Ag 0.5000 0.0000 0.2501  4 Li 2.71, 2 Ga 2.71, 2 Ge 2.71
Ge 0.5000 0.5000 0.0000  4 Li 2.71, 4 Ag 2.71

***

[3]
A relaxed Na4GaAg2Ge crystal, computed with PBE-GGA.

Output
Electronic total energy: -2.351 eV per atom

a b c (Å): 4.9189 4.9189 6.9466
angles (deg): 90.00 90.00 90.00
With the nearest neighbours (Å) after each atom.
Fractional coordinates of all 8 atoms:
Na 0.0000 0.0000 0.0000  4 Na 3.01, 4 Ag 3.01
Na 0.0000 0.5000 0.2486  2 Ge 3.01, 4 Na 3.01-3.02, 2 Ga 3.02
Na 0.5000 0.0000 0.7514  2 Ge 3.01, 4 Na 3.01-3.02, 2 Ga 3.02
Na 0.5000 0.5000 0.5000  4 Ag 3.02, 4 Na 3.02
Ga 0.0000 0.0000 0.5000  4 Ag 3.02, 4 Na 3.02
Ag 0.0000 0.5000 0.7511  2 Ge 3.01, 4 Na 3.01-3.02, 2 Ga 3.02
Ag 0.5000 0.0000 0.2489  2 Ge 3.01, 4 Na 3.01-3.02, 2 Ga 3.02
Ge 0.5000 0.5000 0.0000  4 Na 3.01, 4 Ag 3.01

***

[4]
A relaxed PrGaAg2Ge crystal, computed with PBE-GGA.

Output
Electronic total energy: -4.019 eV per atom

a b c (Å): 4.3576 4.3576 11.1083
angles (deg): 90.00 90.00 90.00
With the nearest neighbours (Å) after each atom.
Fractional coordinates of all 10 atoms:
Pr 0.2500 0.2500 0.2440  4 Ge 3.29, 8 Ag 3.37-3.48, 4 Ga 3.58
Pr 0.7500 0.7500 0.7560  4 Ge 3.29, 8 Ag 3.37-3.48, 4 Ga 3.58
Ga 0.2500 0.7500 0.5000  4 Ag 2.63
Ga 0.7500 0.2500 0.5000  4 Ag 2.63
Ag 0.2500 0.2500 0.6322  1 Ge 2.53, 4 Ga 2.63
Ag 0.2500 0.7500 0.0000  4 Ge 2.68
Ag 0.7500 0.2500 0.0000  4 Ge 2.68
Ag 0.7500 0.7500 0.3678  1 Ge 2.53, 4 Ga 2.63
Ge 0.2500 0.2500 0.8598  5 Ag 2.53-2.68
Ge 0.7500 0.7500 0.1402  5 Ag 2.53-2.68

***

Number 1: V 16.961 Å³/atom. Number 2: V 15.380 Å³/atom. Number 3: V 21.010 Å³/atom. Number 4: V 21.093 Å³/atom.